Entry 1:
Computed, not measured: crystalline Gd2MgPa at its relaxed geometry at the PBE-GGA level of DFT.

Cell and atoms, written as POSCAR:
```
Gd2MgPa
1.0
4.6104 0.0000 0.0000
0.0000 4.9056 0.0000
0.0000 0.0000 4.9056
Gd Mg Pa
2 1 1
direct
0.0000 0.0000 0.5000
0.0000 0.5000 0.0000
0.5000 0.5000 0.5000
0.5000 0.0000 0.0000
```

formation enthalpy at 0 K: 255.5 meV per atom
distance to the lowest polymorph of the same formula: 201 meV per atom

---

Entry 2:
Computed, not measured: crystalline Pm7Ag2Ru2 at its relaxed geometry at the PBE-GGA level of DFT.

Cell and atoms, written as POSCAR:
```
Pm7Ag2Ru2
1.0
6.8423 -0.0031 -0.9410
0.0036 7.1413 0.0028
-1.3655 -0.0020 6.7704
Pm Ag Ru
7 2 2
direct
0.0000 0.2573 0.5000
0.5000 0.7427 0.0000
0.0000 0.7427 0.5000
0.5000 0.2573 0.0000
0.0000 0.0000 0.0000
0.5000 0.7524 0.5000
0.5000 0.2476 0.5000
0.8271 0.5000 0.8271
0.1729 0.5000 0.1729
0.7021 0.0000 0.2979
0.2979 0.0000 0.7021
```

formation enthalpy at 0 K: -127.5 meV per atom

---

Entry 3:
Computed, not measured: crystalline BeP2Se at its relaxed geometry at the PBE-GGA level of DFT.

Cell and atoms, written as POSCAR:
```
BeP2Se
1.0
-3.4889 1.4261 -2.1018
0.1645 -4.2973 -0.3709
-3.6220 -1.6617 1.6601
P Se Be
2 1 1
direct
0.0000 0.0000 0.0000
0.5000 0.0000 0.5000
0.0000 0.5000 0.5000
0.5000 0.5000 0.0000
```

distance to the lowest polymorph of the same formula: 469 meV per atom
E_form (uncorrected): 0.200 eV per atom

---

Entry 4:
Computed, not measured: crystalline Tb3YMg12 at its relaxed geometry at the PBE-GGA level of DFT.

Cell and atoms, written as POSCAR:
```
Tb3YMg12
1.0
4.6376 0.0000 0.0000
0.0000 4.6376 0.0000
0.0000 0.0000 19.0121
Tb Y Mg
3 1 12
direct
0.0000 0.0000 0.2495
0.0000 0.0000 0.5000
0.0000 0.0000 0.7505
0.0000 0.0000 0.0000
0.5000 0.5000 0.0000
0.5000 0.5000 0.2489
0.5000 0.5000 0.5000
0.5000 0.5000 0.7511
0.5000 0.0000 0.1247
0.5000 0.0000 0.3747
0.5000 0.0000 0.6253
0.5000 0.0000 0.8753
0.0000 0.5000 0.1247
0.0000 0.5000 0.3747
0.0000 0.5000 0.6253
0.0000 0.5000 0.8753
```

formation enthalpy at 0 K: -68.1 meV per atom

---

Number 1: calculated volume 110.9 Å³/cell. Number 2: calculated volume 321.6 Å³/cell. Number 3: calculated volume 61.9 Å³/cell. Number 4: calculated volume 408.9 Å³/cell.